VASP calculation (PBE) on a geometry-optimized GaBi2Pb structure.

Summary:
* uncorrected energy: -3.51 eV per atom
* total moment: 0.00 μB/cell

Cell lengths 4.242, 4.242, 8.285 Å; angles 105.03, 105.03, 59.24 degrees
Fractional coordinates of all 4 atoms:
Ga 0.000 0.000 0.000
Bi 0.404 0.404 0.215
Bi 0.596 0.596 0.788
Pb 0.831 0.831 0.500